(1)
First-principles (PBE) data for a relaxed structure of TiV4Fe, as listed in the Alexandria database. Values from VASP.

Quantum ESPRESSO input file:
```
&SYSTEM
  ibrav = 0, nat = 12, ntyp = 3
/
ATOMIC_SPECIES
Ti 47.87 Ti.upf
V 50.94 V.upf
Fe 55.84 Fe.upf
ATOMIC_POSITIONS crystal
Ti 0.000 0.000 0.000
Ti 0.500 0.500 0.000
V 0.157 0.500 0.822
V 0.179 0.500 0.343
V 0.321 0.000 0.657
V 0.343 0.000 0.178
V 0.657 0.000 0.822
V 0.679 0.000 0.343
V 0.821 0.500 0.657
V 0.843 0.500 0.178
Fe 0.000 0.000 0.500
Fe 0.500 0.500 0.500
CELL_PARAMETERS angstrom
8.973 0.000 0.000
0.000 4.262 0.000
-2.731 0.000 4.164
```

Calculated values
The volume is 159.23 Å³ per cell. As for the space group: C2/m, No. 12. The value obtained for the formation energy from the elements is -0.0810 eV per atom.

(2)
First-principles (PBE) data for a relaxed structure of Tm2ZrNpAs4, as listed in the Alexandria database. Values from VASP.

Quantum ESPRESSO input file:
```
&SYSTEM
  ibrav = 0, nat = 8, ntyp = 4
/
ATOMIC_SPECIES
Tm 168.93 Tm.upf
Zr 91.22 Zr.upf
Np 237.00 Np.upf
As 74.92 As.upf
ATOMIC_POSITIONS crystal
Tm 0.000 0.000 0.000
Tm 0.500 0.500 0.000
Zr 0.000 0.500 0.500
Np 0.500 0.000 0.500
As 0.243 0.000 0.743
As 0.244 0.500 0.252
As 0.756 0.500 0.748
As 0.757 0.000 0.257
CELL_PARAMETERS angstrom
6.952 0.000 0.000
0.000 4.012 0.000
-2.286 0.000 6.576
```

Calculated values
The volume is 183.40 Å³ per cell. As for the space group: P2/m, No. 10. The value obtained for the formation energy from the elements is -1.1978 eV per atom.

(3)
First-principles (PBE) data for a relaxed structure of AsOsPb2, as listed in the Alexandria database. Values from VASP.

Quantum ESPRESSO input file:
```
&SYSTEM
  ibrav = 0, nat = 4, ntyp = 3
/
ATOMIC_SPECIES
As 74.92 As.upf
Os 190.23 Os.upf
Pb 207.20 Pb.upf
ATOMIC_POSITIONS crystal
As 0.000 0.000 0.000
Os 0.000 0.000 0.500
Pb 0.500 0.500 0.282
Pb 0.500 0.500 0.718
CELL_PARAMETERS angstrom
3.308 0.000 0.000
0.000 3.308 0.000
-0.011 0.000 8.069
```

Calculated values
The volume is 88.30 Å³ per cell. As for the space group: P2/m, No. 10. The value obtained for the formation energy from the elements is 0.7123 eV per atom.

no.,magnetic moment (μB/cell),DOS(E_F) (states/eV/cell)
1,0.0,14.5
2,4.0,10.5
3,0.0,3.4